*a*
Computed, not measured: Zn2Pd5Au5 after structural relaxation at the PBE level of DFT.

Lattice parameters (Å, degrees): 4.0130 8.3792 6.4519 72.98 71.88 76.15
With the nearest neighbours (Å) after each atom.
Element x y z (fractional)
Pd (0.3340, 0.0004, 0.3315)  8 Au 2.82-2.94, 4 Pd 2.88-2.98
Au (0.7483, 0.2598, 0.2435)  3 Zn 2.78-2.85, 6 Pd 2.78-2.94, 3 Au 2.86-2.90
Zn (0.1580, 0.5032, 0.1808)  5 Pd 2.70-2.80, 5 Au 2.72-2.85, 2 Zn 3.00
Pd (0.4042, 0.2699, 0.9217)  3 Zn 2.70-2.75, 6 Au 2.80-2.93, 3 Pd 2.81-2.98
Au (0.9189, 0.7493, 0.4128)  2 Zn 2.72-2.83, 7 Pd 2.81-2.90, 3 Au 2.85-2.90
Au (0.0811, 0.2507, 0.5872)  2 Zn 2.72-2.83, 7 Pd 2.81-2.90, 3 Au 2.85-2.90
Au (0.0000, 0.0000, 0.0000)  4 Au 2.85-2.86, 8 Pd 2.86-2.93
Pd (0.5958, 0.7301, 0.0783)  3 Zn 2.70-2.75, 6 Au 2.80-2.93, 3 Pd 2.81-2.98
Pd (0.6660, 0.9996, 0.6685)  8 Au 2.82-2.94, 4 Pd 2.88-2.98
Pd (0.5000, 0.5000, 0.5000)  6 Au 2.78-2.81, 4 Zn 2.80, 2 Pd 2.81
Zn (0.8420, 0.4968, 0.8192)  5 Pd 2.70-2.80, 5 Au 2.72-2.85, 2 Zn 3.00
Au (0.2517, 0.7402, 0.7565)  3 Zn 2.78-2.85, 6 Pd 2.78-2.94, 3 Au 2.86-2.90

Values from the calculation:
Crystal system: monoclinic
Magnetic moment in μB/f.u.: 0.00

---

*b*
Computed, not measured: Zn2Pd5Au5 after structural relaxation at the PBE level of DFT.

Lattice parameters (Å, degrees): 4.0701 8.2838 8.7643 135.38 90.00 104.22
With the nearest neighbours (Å) after each atom.
Element x y z (fractional)
Au (0.3329, 0.6657, 0.6655)  8 Pd 2.84-2.96, 4 Au 2.85-2.92
Pd (0.0000, 0.0000, 0.0000)  4 Pd 2.85-2.89, 8 Au 2.87-2.90
Au (0.6671, 0.3343, 0.3345)  8 Pd 2.84-2.96, 4 Au 2.85-2.92
Au (0.5903, 0.1806, 0.9199)  3 Zn 2.77-2.79, 3 Au 2.79-2.92, 6 Pd 2.82-2.93
Zn (0.1604, 0.3209, 0.8189)  5 Pd 2.70-2.75, 5 Au 2.77-2.83, 2 Zn 3.01
Pd (0.0819, 0.1638, 0.4195)  2 Zn 2.71-2.75, 7 Au 2.78-2.93, 3 Pd 2.85-2.93
Pd (0.9181, 0.8362, 0.5805)  2 Zn 2.71-2.75, 7 Au 2.78-2.93, 3 Pd 2.85-2.93
Zn (0.8396, 0.6791, 0.1811)  5 Pd 2.70-2.75, 5 Au 2.77-2.83, 2 Zn 3.01
Au (0.5000, 0.0000, 0.5000)  6 Pd 2.78, 2 Au 2.79, 4 Zn 2.83
Au (0.4097, 0.8194, 0.0801)  3 Zn 2.77-2.79, 3 Au 2.79-2.92, 6 Pd 2.82-2.93
Pd (0.2513, 0.5027, 0.2333)  3 Zn 2.70-2.75, 6 Au 2.78-2.96, 3 Pd 2.89-2.93
Pd (0.7487, 0.4973, 0.7667)  3 Zn 2.70-2.75, 6 Au 2.78-2.96, 3 Pd 2.89-2.93

Values from the calculation:
Crystal system: monoclinic
Magnetic moment in μB/f.u.: 0.00

---

Stability, lowest: *a*

---

*a*
Computed, not measured: Zn3PdAu3 after structural relaxation at the PBE level of DFT.

Lattice parameters (Å, degrees): 7.2734 7.2734 6.8528 57.95 57.95 60.00
With the nearest neighbours (Å) after each atom.
Element x y z (fractional)
Zn (0.2557, 0.6455, 0.1541)  5 Au 2.60-2.73, 2 Pd 2.63-2.70, 2 Zn 2.78
Au (0.5262, 0.2323, 0.3467)  5 Zn 2.60-2.73
Zn (0.6455, 0.9446, 0.1541)  5 Au 2.60-2.73, 2 Pd 2.63-2.70, 2 Zn 2.78
Au (0.8948, 0.5262, 0.3467)  5 Zn 2.60-2.73
Au (0.7677, 0.1052, 0.6533)  5 Zn 2.60-2.73
Au (0.2323, 0.8948, 0.3467)  5 Zn 2.60-2.73
Zn (0.9446, 0.2557, 0.1541)  5 Au 2.60-2.73, 2 Pd 2.63-2.70, 2 Zn 2.78
Zn (0.3545, 0.0554, 0.8459)  5 Au 2.60-2.73, 2 Pd 2.63-2.70, 2 Zn 2.78
Pd (0.3368, 0.3368, 0.9897)  6 Zn 2.63-2.70
Pd (0.6632, 0.6632, 0.0103)  6 Zn 2.63-2.70
Au (0.4738, 0.7677, 0.6533)  5 Zn 2.60-2.73
Au (0.1052, 0.4738, 0.6533)  5 Zn 2.60-2.73
Zn (0.7443, 0.3545, 0.8459)  5 Au 2.60-2.73, 2 Pd 2.63-2.70, 2 Zn 2.78
Zn (0.0554, 0.7443, 0.8459)  5 Au 2.60-2.73, 2 Pd 2.63-2.70, 2 Zn 2.78

Values from the calculation:
Crystal system: trigonal
Magnetic moment in μB/f.u.: 0.00

---

*b*
Computed, not measured: Zn3PdAu3 after structural relaxation at the PBE level of DFT.

Lattice parameters (Å, degrees): 6.2972 6.2972 5.9208 90.00 90.00 89.17
With the nearest neighbours (Å) after each atom.
Element x y z (fractional)
Au (0.7195, 0.2805, 0.5000)  6 Zn 2.72-2.93, 4 Au 2.96
Zn (0.5000, 0.0000, 0.7556)  2 Pd 2.64, 6 Au 2.68-2.72, 1 Zn 2.89
Zn (0.0000, 0.5000, 0.2444)  2 Pd 2.64, 6 Au 2.68-2.72, 1 Zn 2.89
Au (0.7488, 0.7488, 0.5000)  6 Zn 2.68-2.74, 2 Au 2.96, 2 Pd 2.96
Zn (0.0000, 0.5000, 0.7556)  2 Pd 2.64, 6 Au 2.68-2.72, 1 Zn 2.89
Au (0.7167, 0.2833, 0.0000)  6 Zn 2.68-2.87, 2 Pd 2.95, 2 Au 2.96
Zn (0.0000, 0.0000, 0.7623)  2 Pd 2.65, 6 Au 2.74-2.93, 1 Zn 2.81
Zn (0.5000, 0.0000, 0.2444)  2 Pd 2.64, 6 Au 2.68-2.72, 1 Zn 2.89
Au (0.2805, 0.7195, 0.5000)  6 Zn 2.72-2.93, 4 Au 2.96
Au (0.2512, 0.2512, 0.5000)  6 Zn 2.68-2.74, 2 Au 2.96, 2 Pd 2.96
Pd (0.2503, 0.2503, 0.0000)  6 Zn 2.64-2.65, 2 Au 2.95
Au (0.2833, 0.7167, 0.0000)  6 Zn 2.68-2.87, 2 Pd 2.95, 2 Au 2.96
Zn (0.0000, 0.0000, 0.2377)  2 Pd 2.65, 6 Au 2.74-2.93, 1 Zn 2.81
Pd (0.7497, 0.7497, 0.0000)  6 Zn 2.64-2.65, 2 Au 2.95

Values from the calculation:
Crystal system: orthorhombic
Magnetic moment in μB/f.u.: 0.00

---

Stability, lowest: *a*

---

*a*
Computed, not measured: ZrPd2Au after structural relaxation at the PBE level of DFT.

Lattice parameters (Å, degrees): 4.7743 5.0087 5.7623 90.01 90.00 90.00
With the nearest neighbours (Å) after each atom.
Element x y z (fractional)
Pd (0.7500, 0.6682, 0.4994)  4 Au 2.86-2.91, 4 Zr 2.88-2.91, 4 Pd 2.88-2.92
Zr (0.7500, 0.1648, 0.7499)  8 Pd 2.88-2.91, 4 Au 2.88-2.93
Au (0.2500, 0.8263, 0.7501)  8 Pd 2.86-2.91, 4 Zr 2.88-2.93
Pd (0.7500, 0.6681, 0.0003)  4 Au 2.86-2.91, 4 Pd 2.88-2.92, 4 Zr 2.88-2.91
Zr (0.2500, 0.8352, 0.2501)  8 Pd 2.88-2.91, 4 Au 2.88-2.93
Au (0.7500, 0.1737, 0.2499)  8 Pd 2.86-2.91, 4 Zr 2.88-2.93
Pd (0.2500, 0.3318, 0.5006)  4 Au 2.86-2.91, 4 Zr 2.88-2.91, 4 Pd 2.88-2.92
Pd (0.2500, 0.3319, 0.9997)  4 Au 2.86-2.91, 4 Pd 2.88-2.92, 4 Zr 2.88-2.91

Values from the calculation:
Crystal system: orthorhombic
Magnetic moment in μB/f.u.: 0.00

---

*b*
Computed, not measured: ZrPd2Au after structural relaxation at the PBE level of DFT.

Lattice parameters (Å, degrees): 4.6244 4.6244 4.6244 60.00 60.00 60.00
With the nearest neighbours (Å) after each atom.
Element x y z (fractional)
Pd (0.7500, 0.7500, 0.7500)  4 Zr 2.83, 4 Au 2.83
Au (0.5000, 0.5000, 0.5000)  8 Pd 2.83
Zr (0.0000, 0.0000, 0.0000)  8 Pd 2.83
Pd (0.2500, 0.2500, 0.2500)  4 Zr 2.83, 4 Au 2.83

Values from the calculation:
Crystal system: cubic
Magnetic moment in μB/f.u.: 0.00

---

Stability, lowest: *b*